# 1
! TaCrCd (PBE, optimized geometry); values from VASP
! - total DFT energy (no corrections) (eV/atom) = -7.1051
! - density of states at the Fermi level (states/eV per cell) = 5.044
! - formation energy from the elements (eV/atom) = 0.36
! - symmetry = I4mm
! - spin magnetization (μB per cell) = 1.742
! - offset from the most stable computed form (eV/f.u.) = 0.000
&SYSTEM
  ibrav = 0, nat = 6, ntyp = 3
/
ATOMIC_SPECIES
Ta 180.95 Ta.upf
Cr 52.00 Cr.upf
Cd 112.41 Cd.upf
CELL_PARAMETERS angstrom
3.237 0.000 0.000
0.000 3.237 0.000
0.000 0.000 9.891
ATOMIC_POSITIONS angstrom
Ta 0.000 0.000 0.000
Ta 1.619 1.619 4.946
Cr 0.000 0.000 6.134
Cr 1.619 1.619 1.188
Cd 0.000 0.000 2.974
Cd 1.619 1.619 7.920


# 2
! Ta2CrCd (PBE, optimized geometry); values from VASP
! - total DFT energy (no corrections) (eV/atom) = -8.2015
! - density of states at the Fermi level (states/eV per cell) = 6.326
! - formation energy from the elements (eV/atom) = 0.36
! - symmetry = Imm2
! - spin magnetization (μB per cell) = 0.000
&SYSTEM
  ibrav = 0, nat = 8, ntyp = 3
/
ATOMIC_SPECIES
Ta 180.95 Ta.upf
Cr 52.00 Cr.upf
Cd 112.41 Cd.upf
CELL_PARAMETERS angstrom
3.226 0.000 0.000
0.000 4.616 0.000
0.000 0.000 9.233
ATOMIC_POSITIONS angstrom
Ta 0.000 0.000 0.000
Ta 0.000 2.308 2.086
Ta 1.613 0.000 6.702
Ta 1.613 2.308 4.617
Cr 0.000 0.000 4.765
Cr 1.613 2.308 0.149
Cd 0.000 2.308 7.145
Cd 1.613 0.000 2.529


# 3
! Ta2CrCd (PBE, optimized geometry); values from VASP
! - total DFT energy (no corrections) (eV/atom) = -8.2257
! - density of states at the Fermi level (states/eV per cell) = 8.372
! - formation energy from the elements (eV/atom) = 0.34
! - symmetry = Immm
! - spin magnetization (μB per cell) = 0.001
&SYSTEM
  ibrav = 0, nat = 8, ntyp = 3
/
ATOMIC_SPECIES
Ta 180.95 Ta.upf
Cr 52.00 Cr.upf
Cd 112.41 Cd.upf
CELL_PARAMETERS angstrom
3.398 0.000 0.000
0.000 4.611 0.000
0.000 0.000 8.727
ATOMIC_POSITIONS angstrom
Ta 0.000 0.000 1.972
Ta 0.000 0.000 6.755
Ta 1.699 2.305 2.391
Ta 1.699 2.305 6.336
Cr 0.000 2.305 4.364
Cr 1.699 0.000 0.000
Cd 0.000 2.305 0.000
Cd 1.699 0.000 4.364


# 4
! Ta2CrCd (PBE, optimized geometry); values from VASP
! - total DFT energy (no corrections) (eV/atom) = -8.1107
! - density of states at the Fermi level (states/eV per cell) = 6.851
! - formation energy from the elements (eV/atom) = 0.45
! - symmetry = I-4m2
! - spin magnetization (μB per cell) = 2.894
&SYSTEM
  ibrav = 0, nat = 8, ntyp = 3
/
ATOMIC_SPECIES
Ta 180.95 Ta.upf
Cr 52.00 Cr.upf
Cd 112.41 Cd.upf
CELL_PARAMETERS angstrom
4.052 0.000 0.000
0.000 4.052 0.000
0.000 0.000 8.495
ATOMIC_POSITIONS angstrom
Ta 0.000 0.000 0.000
Ta 0.000 2.026 2.124
Ta 2.026 0.000 6.371
Ta 2.026 2.026 4.247
Cr 0.000 0.000 4.247
Cr 2.026 2.026 0.000
Cd 0.000 2.026 6.371
Cd 2.026 0.000 2.124


# 5
! Ta2CrCd (PBE, optimized geometry); values from VASP
! - total DFT energy (no corrections) (eV/atom) = -8.2923
! - density of states at the Fermi level (states/eV per cell) = 2.987
! - formation energy from the elements (eV/atom) = 0.27
! - symmetry = P4mm
! - spin magnetization (μB per cell) = 0.804
&SYSTEM
  ibrav = 0, nat = 4, ntyp = 3
/
ATOMIC_SPECIES
Ta 180.95 Ta.upf
Cr 52.00 Cr.upf
Cd 112.41 Cd.upf
CELL_PARAMETERS angstrom
3.230 0.000 0.000
0.000 3.230 0.000
0.000 0.000 6.711
ATOMIC_POSITIONS angstrom
Ta 0.000 0.000 0.000
Ta 1.615 1.615 1.666
Cr 1.615 1.615 5.386
Cd 0.000 0.000 3.642


# 6
! TaCrCd (PBE, optimized geometry); values from VASP
! - total DFT energy (no corrections) (eV/atom) = -6.4125
! - density of states at the Fermi level (states/eV per cell) = 16.600
! - formation energy from the elements (eV/atom) = 1.05
! - symmetry = F-43m
! - spin magnetization (μB per cell) = 4.342
! - offset from the most stable computed form (eV/f.u.) = 2.078
&SYSTEM
  ibrav = 0, nat = 12, ntyp = 3
/
ATOMIC_SPECIES
Ta 180.95 Ta.upf
Cr 52.00 Cr.upf
Cd 112.41 Cd.upf
CELL_PARAMETERS angstrom
6.181 0.000 0.000
0.000 6.181 0.000
0.000 0.000 6.181
ATOMIC_POSITIONS angstrom
Ta 0.000 0.000 0.000
Ta 0.000 3.091 3.091
Ta 3.091 0.000 3.091
Ta 3.091 3.091 0.000
Cr 1.545 1.545 1.545
Cr 1.545 4.636 4.636
Cr 4.636 1.545 4.636
Cr 4.636 4.636 1.545
Cd 0.000 0.000 3.091
Cd 0.000 3.091 0.000
Cd 3.091 0.000 0.000
Cd 3.091 3.091 3.091


Which formula does entry 4 have? Ta2CrCd


density of states at the Fermi level of number 6 (TaCrCd)? 16.600 states/eV per cell